(1)
Computed, not measured: an optimized crystal structure of Sc2InW at the PBEsol level of DFT.

Summary:
Its formation energy from the elements is -0.045 eV per atom. The value obtained for the volume is 78 Å³/cell. For the total magnetic moment, the calculation gives 0.0 μB per formula unit.

a = 2.925 Å, b = 2.925 Å, c = 9.108 Å
α = 90.00°, β = 90.00°, γ = 90.00°
Space group P4/mmm (No. 123)
One atom of each set of equivalent atoms:
Sc: 0.000 0.000 0.235
In: 0.500 0.500 0.500
W: 0.500 0.500 0.000

---

(2)
Computed, not measured: an optimized crystal structure of BeTlF2 at the PBEsol level of DFT.

Summary:
As for the total energy: -3.343 eV per atom. The value obtained for the volume is 235 Å³/cell. For the total magnetic moment, the calculation gives 1.0 μB per formula unit.

a = 6.175 Å, b = 6.175 Å, c = 6.175 Å
α = 90.00°, β = 90.00°, γ = 90.00°
Space group Fm-3m (No. 225)
One atom of each set of equivalent atoms:
Be: 0.000 0.000 0.000
Tl: 0.000 0.000 0.500
F: 0.250 0.250 0.250

---

(3)
Computed, not measured: an optimized crystal structure of Ba3BiRh at the PBEsol level of DFT.

Summary:
Its formation energy from the elements is -0.451 eV per atom. The value obtained for the volume is 194 Å³/cell. For the total magnetic moment, the calculation gives 0.0 μB per formula unit.

a = 5.793 Å, b = 5.793 Å, c = 5.793 Å
α = 90.00°, β = 90.00°, γ = 90.00°
Space group Pm-3m (No. 221)
One atom of each set of equivalent atoms:
Ba: 0.000 0.000 0.500
Bi: 0.500 0.500 0.500
Rh: 0.000 0.000 0.000

---

(4)
Computed, not measured: an optimized crystal structure of TePt2Rh at the PBEsol level of DFT.

Summary:
The value obtained for the volume is 130 Å³/cell. As for the relative energy among the computed polymorphs: 0.018 eV/atom. For the total magnetic moment, the calculation gives 0.0 μB per formula unit.

a = 4.074 Å, b = 4.074 Å, c = 7.824 Å
α = 90.00°, β = 90.00°, γ = 90.00°
Space group I-4m2 (No. 119)
One atom of each set of equivalent atoms:
Te: 0.000 0.000 0.000
Pt: 0.000 0.000 0.500
Pt: 0.000 0.500 0.250
Rh: 0.000 0.500 0.750